# 1
A relaxed structure of Th6Ge2Bi3Se. Source: Alexandria, functional PBE-GGA.

Structure (CIF):
```
data_Th6Ge2Bi3Se
_chemical_formula_sum 'Th12 Ge4 Bi6 Se2'
_cell_length_a 19.497
_cell_length_b 4.399
_cell_length_c 8.947
_cell_angle_alpha 90.00
_cell_angle_beta 105.07
_cell_angle_gamma 90.00
_symmetry_space_group_name_H-M 'C 1 2/m 1'
_symmetry_Int_Tables_number 12
loop_
_symmetry_equiv_pos_as_xyz
'x,y,z'
'-x,-y,-z'
'-x,y,-z'
'x,-y,z'
'x+1/2,y+1/2,z'
'-x+1/2,-y+1/2,-z'
'-x+1/2,y+1/2,-z'
'x+1/2,-y+1/2,z'
loop_
_atom_site_label
_atom_site_type_symbol
_atom_site_fract_x
_atom_site_fract_y
_atom_site_fract_z
_atom_site_occupancy
Th1 Th 0.008 0.000 0.235 1
Th2 Th 0.162 0.500 0.103 1
Th3 Th 0.174 0.500 0.566 1
Ge1 Ge 0.166 0.000 0.332 1
Bi1 Bi 0.000 0.500 0.500 1
Bi2 Bi 0.165 0.000 0.833 1
Se1 Se 0.000 0.500 0.000 1
```

## Properties
- Energy relative to the elements, uncorrected: -0.846 eV/atom

# 2
A relaxed structure of Pm8Ge3Te4Au. Source: Alexandria, functional PBE-GGA.

Structure (CIF):
```
data_Pm8Ge3Te4Au
_chemical_formula_sum 'Pm24 Ge9 Te12 Au3'
_cell_length_a 8.7113
_cell_length_b 8.7113
_cell_length_c 21.8014
_cell_angle_alpha 90.00
_cell_angle_beta 90.00
_cell_angle_gamma 120.00
_symmetry_space_group_name_H-M 'R -3 m'
_symmetry_Int_Tables_number 166
_symmetry_space_group_name_Hall '-R 3 2"'
loop_
_atom_site_label
_atom_site_type_symbol
_atom_site_fract_x
_atom_site_fract_y
_atom_site_fract_z
_atom_site_occupancy
Pm1 Pm 0.0000 0.0000 0.2413 1
Pm2 Pm 0.0088 0.5044 0.7571 1
Ge1 Ge 0.0000 0.5000 0.5000 1
Te1 Te 0.0000 0.0000 0.0000 1
Te2 Te 0.0000 0.5000 0.0000 1
Au1 Au 0.0000 0.0000 0.5000 1
```

## Properties
- Energy relative to the elements, uncorrected: -1.173 eV/atom

# 3
A relaxed structure of LiDy4Se4. Source: Alexandria, functional PBE-GGA.

Structure (CIF):
```
data_LiDy4Se4
_chemical_formula_sum 'Li2 Dy8 Se8'
_cell_length_a 12.568
_cell_length_b 5.692
_cell_length_c 8.883
_cell_angle_alpha 90.00
_cell_angle_beta 134.92
_cell_angle_gamma 90.00
_symmetry_space_group_name_H-M 'C 1 2/m 1'
_symmetry_Int_Tables_number 12
loop_
_symmetry_equiv_pos_as_xyz
'x,y,z'
'-x,-y,-z'
'-x,y,-z'
'x,-y,z'
'x+1/2,y+1/2,z'
'-x+1/2,-y+1/2,-z'
'-x+1/2,y+1/2,-z'
'x+1/2,-y+1/2,z'
loop_
_atom_site_label
_atom_site_type_symbol
_atom_site_fract_x
_atom_site_fract_y
_atom_site_fract_z
_atom_site_occupancy
Li1 Li 0.000 0.000 0.000 1
Dy1 Dy 0.096 0.500 0.801 1
Dy2 Dy 0.204 0.000 0.607 1
Se1 Se 0.093 0.000 0.804 1
Se2 Se 0.210 0.500 0.618 1
```

## Properties
- Energy relative to the elements, uncorrected: -1.475 eV/atom

# 4
A relaxed structure of Nd3Sm5Ho4. Source: Alexandria, functional PBE-GGA.

Structure (CIF):
```
data_Nd3Sm5Ho4
_chemical_formula_sum 'Nd6 Sm10 Ho8'
_cell_length_a 16.190
_cell_length_b 5.982
_cell_length_c 9.332
_cell_angle_alpha 90.00
_cell_angle_beta 116.10
_cell_angle_gamma 90.00
_symmetry_space_group_name_H-M 'C 1 2/m 1'
_symmetry_Int_Tables_number 12
loop_
_symmetry_equiv_pos_as_xyz
'x,y,z'
'-x,-y,-z'
'-x,y,-z'
'x,-y,z'
'x+1/2,y+1/2,z'
'-x+1/2,-y+1/2,-z'
'-x+1/2,y+1/2,-z'
'x+1/2,-y+1/2,z'
loop_
_atom_site_label
_atom_site_type_symbol
_atom_site_fract_x
_atom_site_fract_y
_atom_site_fract_z
_atom_site_occupancy
Nd1 Nd 0.000 0.000 0.000 1
Nd2 Nd 0.208 0.500 0.228 1
Sm1 Sm 0.000 0.500 0.000 1
Sm2 Sm 0.075 0.000 0.698 1
Sm3 Sm 0.173 0.000 0.387 1
Ho1 Ho 0.082 0.500 0.442 1
Ho2 Ho 0.211 0.500 0.876 1
```

## Properties
- Energy above the most stable polymorph in this dataset: 208.0 meV per atom
- Calculated formation energy: 0.223 eV/atom

# 5
A relaxed structure of Pm4Tm2Th. Source: Alexandria, functional PBE-GGA.

Structure (CIF):
```
data_Pm4Tm2Th
_chemical_formula_sum 'Pm8 Tm4 Th2'
_cell_length_a 6.251
_cell_length_b 3.608
_cell_length_c 20.552
_cell_angle_alpha 90.00
_cell_angle_beta 95.95
_cell_angle_gamma 90.00
_symmetry_space_group_name_H-M 'C 1 m 1'
_symmetry_Int_Tables_number 8
loop_
_symmetry_equiv_pos_as_xyz
'x,y,z'
'x,-y,z'
'x+1/2,y+1/2,z'
'x+1/2,-y+1/2,z'
loop_
_atom_site_label
_atom_site_type_symbol
_atom_site_fract_x
_atom_site_fract_y
_atom_site_fract_z
_atom_site_occupancy
Pm1 Pm 0.000 0.000 0.000 1
Pm2 Pm 0.020 0.500 0.562 1
Pm3 Pm 0.090 0.000 0.279 1
Pm4 Pm 0.116 0.500 0.850 1
Tm1 Tm 0.210 0.500 0.139 1
Tm2 Tm 0.303 0.500 0.420 1
Th1 Th 0.402 0.500 0.707 1
```

## Properties
- Energy above the most stable polymorph in this dataset: 0.0 meV per atom
- Calculated formation energy: 0.040 eV/atom

# 6
A relaxed structure of Sr2LiCaPd. Source: Alexandria, functional PBE-GGA.

Structure (CIF):
```
data_Sr2LiCaPd
_chemical_formula_sum 'Sr2 Li1 Ca1 Pd1'
_cell_length_a 5.995
_cell_length_b 5.995
_cell_length_c 5.174
_cell_angle_alpha 90.00
_cell_angle_beta 90.00
_cell_angle_gamma 90.00
_symmetry_space_group_name_H-M 'P 4/m m m'
_symmetry_Int_Tables_number 123
_symmetry_space_group_name_Hall '-P 4 2'
loop_
_atom_site_label
_atom_site_type_symbol
_atom_site_fract_x
_atom_site_fract_y
_atom_site_fract_z
_atom_site_occupancy
Sr1 Sr 0.000 0.500 0.000 1
Li1 Li 0.000 0.000 0.500 1
Ca1 Ca 0.500 0.500 0.500 1
Pd1 Pd 0.000 0.000 0.000 1
```

## Properties
- Energy above the most stable polymorph in this dataset: 94.8 meV per atom
- Calculated formation energy: -0.145 eV/atom

# 7
A relaxed structure of Tb2YHfAs4. Source: Alexandria, functional PBE-GGA.

Structure (CIF):
```
data_Tb2YHfAs4
_chemical_formula_sum 'Tb2 Y1 Hf1 As4'
_cell_length_a 7.008
_cell_length_b 4.042
_cell_length_c 7.008
_cell_angle_alpha 90.00
_cell_angle_beta 109.27
_cell_angle_gamma 90.00
_symmetry_space_group_name_H-M 'P 1 2/m 1'
_symmetry_Int_Tables_number 10
loop_
_symmetry_equiv_pos_as_xyz
'x,y,z'
'-x,-y,-z'
'-x,y,-z'
'x,-y,z'
loop_
_atom_site_label
_atom_site_type_symbol
_atom_site_fract_x
_atom_site_fract_y
_atom_site_fract_z
_atom_site_occupancy
Tb1 Tb 0.000 0.000 0.000 1
Tb2 Tb 0.500 0.500 0.000 1
Y1 Y 0.000 0.500 0.500 1
Hf1 Hf 0.500 0.000 0.500 1
As1 As 0.257 0.000 0.742 1
As2 As 0.263 0.500 0.264 1
```

## Properties
- Calculated formation energy: -1.407 eV/atom

# 8
A relaxed structure of DyScTlRh. Source: Alexandria, functional PBE-GGA.

Structure (CIF):
```
data_DyScTlRh
_chemical_formula_sum 'Dy1 Sc1 Tl1 Rh1'
_cell_length_a 3.412
_cell_length_b 3.412
_cell_length_c 7.516
_cell_angle_alpha 90.00
_cell_angle_beta 90.00
_cell_angle_gamma 90.00
_symmetry_space_group_name_H-M 'P 4 m m'
_symmetry_Int_Tables_number 99
loop_
_symmetry_equiv_pos_as_xyz
'x,y,z'
'-y,x,z'
'-x,-y,z'
'y,-x,z'
'-x,y,z'
'y,x,z'
'x,-y,z'
'-y,-x,z'
loop_
_atom_site_label
_atom_site_type_symbol
_atom_site_fract_x
_atom_site_fract_y
_atom_site_fract_z
_atom_site_occupancy
Dy1 Dy 0.000 0.000 0.000 1
Sc1 Sc 0.000 0.000 0.573 1
Tl1 Tl 0.500 0.500 0.306 1
Rh1 Rh 0.500 0.500 0.762 1
```

## Properties
- Energy above the most stable polymorph in this dataset: 0.0 meV per atom
- Calculated formation energy: -0.622 eV/atom

# 9
A relaxed structure of IrPt2. Source: Alexandria, functional PBE-GGA.

Structure (CIF):
```
data_IrPt2
_chemical_formula_sum 'Ir4 Pt8'
_cell_length_a 6.087
_cell_length_b 6.087
_cell_length_c 6.087
_cell_angle_alpha 90.00
_cell_angle_beta 90.00
_cell_angle_gamma 90.00
_symmetry_space_group_name_H-M 'P a -3'
_symmetry_Int_Tables_number 205
_symmetry_space_group_name_Hall '-P 2ac 2ab 3'
loop_
_atom_site_label
_atom_site_type_symbol
_atom_site_fract_x
_atom_site_fract_y
_atom_site_fract_z
_atom_site_occupancy
Ir1 Ir 0.000 0.000 0.000 1
Pt1 Pt 0.122 0.622 0.878 1
```

## Properties
- Energy above the most stable polymorph in this dataset: 662.1 meV per atom
- Calculated formation energy: 0.702 eV/atom

# 10
A relaxed structure of TaWC2. Source: Alexandria, functional PBE-GGA.

Structure (CIF):
```
data_TaWC2
_chemical_formula_sum 'Ta2 W2 C4'
_cell_length_a 2.907
_cell_length_b 2.932
_cell_length_c 10.391
_cell_angle_alpha 90.00
_cell_angle_beta 90.00
_cell_angle_gamma 90.00
_symmetry_space_group_name_H-M 'I m m 2'
_symmetry_Int_Tables_number 44
loop_
_symmetry_equiv_pos_as_xyz
'x,y,z'
'-x,-y,z'
'-x,y,z'
'x,-y,z'
'x+1/2,y+1/2,z+1/2'
'-x+1/2,-y+1/2,z+1/2'
'-x+1/2,y+1/2,z+1/2'
'x+1/2,-y+1/2,z+1/2'
loop_
_atom_site_label
_atom_site_type_symbol
_atom_site_fract_x
_atom_site_fract_y
_atom_site_fract_z
_atom_site_occupancy
Ta1 Ta 0.000 0.000 0.000 1
W1 W 0.000 0.500 0.752 1
C1 C 0.000 0.000 0.409 1
C2 C 0.000 0.500 0.167 1
```

## Properties
- Energy above the most stable polymorph in this dataset: 16.1 meV per atom
- Calculated formation energy: -0.142 eV/atom

# 11
A relaxed structure of LiMgMn. Source: Alexandria, functional PBE-GGA.

Structure (CIF):
```
data_LiMgMn
_chemical_formula_sum 'Li2 Mg2 Mn2'
_cell_length_a 2.834
_cell_length_b 4.304
_cell_length_c 8.607
_cell_angle_alpha 90.00
_cell_angle_beta 90.00
_cell_angle_gamma 90.00
_symmetry_space_group_name_H-M 'I m m 2'
_symmetry_Int_Tables_number 44
loop_
_symmetry_equiv_pos_as_xyz
'x,y,z'
'-x,-y,z'
'-x,y,z'
'x,-y,z'
'x+1/2,y+1/2,z+1/2'
'-x+1/2,-y+1/2,z+1/2'
'-x+1/2,y+1/2,z+1/2'
'x+1/2,-y+1/2,z+1/2'
loop_
_atom_site_label
_atom_site_type_symbol
_atom_site_fract_x
_atom_site_fract_y
_atom_site_fract_z
_atom_site_occupancy
Li1 Li 0.000 0.000 0.000 1
Mg1 Mg 0.000 0.000 0.674 1
Mn1 Mn 0.000 0.000 0.335 1
```

## Properties
- Energy above the most stable polymorph in this dataset: 5.5 meV per atom
- Calculated formation energy: 0.270 eV/atom

# 12
A relaxed structure of KTi3Ni. Source: Alexandria, functional PBE-GGA.

Structure (CIF):
```
data_KTi3Ni
_chemical_formula_sum 'K1 Ti3 Ni1'
_cell_length_a 4.772
_cell_length_b 4.772
_cell_length_c 4.772
_cell_angle_alpha 90.00
_cell_angle_beta 90.00
_cell_angle_gamma 90.00
_symmetry_space_group_name_H-M 'P m -3 m'
_symmetry_Int_Tables_number 221
_symmetry_space_group_name_Hall '-P 4 2 3'
loop_
_atom_site_label
_atom_site_type_symbol
_atom_site_fract_x
_atom_site_fract_y
_atom_site_fract_z
_atom_site_occupancy
K1 K 0.000 0.000 0.000 1
Ti1 Ti 0.000 0.500 0.500 1
Ni1 Ni 0.500 0.500 0.500 1
```

## Properties
- Calculated formation energy: 0.728 eV/atom

Copy entry 9 word for word.
A relaxed structure of IrPt2. Source: Alexandria, functional PBE-GGA.

Structure (CIF):
```
data_IrPt2
_chemical_formula_sum 'Ir4 Pt8'
_cell_length_a 6.087
_cell_length_b 6.087
_cell_length_c 6.087
_cell_angle_alpha 90.00
_cell_angle_beta 90.00
_cell_angle_gamma 90.00
_symmetry_space_group_name_H-M 'P a -3'
_symmetry_Int_Tables_number 205
_symmetry_space_group_name_Hall '-P 2ac 2ab 3'
loop_
_atom_site_label
_atom_site_type_symbol
_atom_site_fract_x
_atom_site_fract_y
_atom_site_fract_z
_atom_site_occupancy
Ir1 Ir 0.000 0.000 0.000 1
Pt1 Pt 0.122 0.622 0.878 1
```

## Properties
- Energy above the most stable polymorph in this dataset: 662.1 meV per atom
- Calculated formation energy: 0.702 eV/atom